i) A plane-wave DFT calculation with PBE was carried out for Tm3TlS6 after structural relaxation.

Cell and atoms, written as POSCAR:
```
Tm3TlS6
1.0
7.167 -7.330 0.000
7.167 7.330 0.000
0.000 0.000 10.255
Tm Tl S
3 1 6
direct
0.000 0.000 0.000
0.000 0.500 0.500
0.500 0.000 0.500
0.000 0.000 0.500
0.000 0.000 0.232
0.000 0.000 0.768
0.003 0.268 0.500
0.268 0.003 0.500
0.732 0.997 0.500
0.997 0.732 0.500
```

## Properties
The space group is Cmmm.

---

ii) A plane-wave DFT calculation with PBE was carried out for Tm3TlS6 after structural relaxation.

Cell and atoms, written as POSCAR:
```
Tm3TlS6
1.0
5.296 -6.644 0.000
5.296 6.644 0.000
0.000 0.000 6.589
Tm Tl S
6 2 12
direct
0.093 0.907 0.500
0.215 0.411 0.409
0.411 0.215 0.909
0.589 0.785 0.409
0.785 0.589 0.909
0.907 0.093 0.000
0.298 0.702 0.894
0.702 0.298 0.394
0.049 0.599 0.669
0.130 0.196 0.707
0.196 0.130 0.207
0.279 0.721 0.271
0.401 0.951 0.669
0.471 0.529 0.703
0.529 0.471 0.203
0.599 0.049 0.169
0.721 0.279 0.771
0.804 0.870 0.707
0.870 0.804 0.207
0.951 0.401 0.169
```

## Properties
The space group is Cmc2_1.

---

Least stable: i)